*a*
The following is a PBE calculation of a geometry-optimized Pb2BrCl structure, from the Alexandria database.

a = 3.567 Å, b = 4.619 Å, c = 6.936 Å
α = 90.00°, β = 90.00°, γ = 90.00°
Element x y z (fractional)
Pb 0.000 0.000 0.246
Pb 0.000 0.000 0.754
Br 0.500 0.500 0.500
Cl 0.500 0.500 0.000

* space group: Pmmm (47)
* total magnetic moment: 0.0 μB per formula unit
* DOS at the Fermi energy: 0.71 states/eV/atom

*b*
The following is a PBE calculation of a geometry-optimized Pb2BrCl structure, from the Alexandria database.

a = 6.139 Å, b = 6.139 Å, c = 3.690 Å
α = 106.38°, β = 106.38°, γ = 106.76°
Element x y z (fractional)
Pb 0.000 0.500 0.000
Pb 0.500 0.000 0.000
Br 0.000 0.000 0.500
Cl 0.500 0.500 0.500

* space group: C2/m (12)
* total magnetic moment: 0.0 μB per formula unit
* DOS at the Fermi energy: 0.16 states/eV/atom

*b* (150 meV per atom below the next structure)